# AlCuTc2H, relaxed, DFT PBE
data_AlCuTc2H
_cell_length_a 3.864
_cell_length_b 3.864
_cell_length_c 3.924
_cell_angle_alpha 90.00
_cell_angle_beta 90.00
_cell_angle_gamma 90.00
_symmetry_space_group_name_H-M 'P 4/m m m'
_symmetry_Int_Tables_number 123
_symmetry_space_group_name_Hall '-P 4 2'
loop_
_atom_site_label
_atom_site_type_symbol
_atom_site_fract_x
_atom_site_fract_y
_atom_site_fract_z
Al1 Al 0.000 0.000 0.000
Cu1 Cu 0.500 0.500 0.000
Tc1 Tc 0.000 0.500 0.500
H1 H 0.500 0.500 0.500
# Energy (eV per atom): -6.306
# Density of states at the Fermi level (states/eV/f.u.): 4.43


# AlCuTe2H, relaxed, DFT PBE
data_AlCuTe2H
_cell_length_a 5.214
_cell_length_b 5.214
_cell_length_c 4.690
_cell_angle_alpha 90.00
_cell_angle_beta 90.00
_cell_angle_gamma 90.00
_symmetry_space_group_name_H-M 'P 4/m m m'
_symmetry_Int_Tables_number 123
_symmetry_space_group_name_Hall '-P 4 2'
loop_
_atom_site_label
_atom_site_type_symbol
_atom_site_fract_x
_atom_site_fract_y
_atom_site_fract_z
Al1 Al 0.000 0.000 0.000
Cu1 Cu 0.000 0.000 0.500
Te1 Te 0.000 0.500 0.500
H1 H 0.500 0.500 0.000
# Energy (eV per atom): -2.762
# Density of states at the Fermi level (states/eV/f.u.): 2.72


# TiAl2CuH, relaxed, DFT PBE
data_TiAl2CuH
_cell_length_a 4.029
_cell_length_b 4.029
_cell_length_c 3.758
_cell_angle_alpha 90.00
_cell_angle_beta 90.00
_cell_angle_gamma 90.00
_symmetry_space_group_name_H-M 'P 4/m m m'
_symmetry_Int_Tables_number 123
_symmetry_space_group_name_Hall '-P 4 2'
loop_
_atom_site_label
_atom_site_type_symbol
_atom_site_fract_x
_atom_site_fract_y
_atom_site_fract_z
Ti1 Ti 0.000 0.000 0.000
Al1 Al 0.000 0.500 0.500
Cu1 Cu 0.500 0.500 0.000
H1 H 0.000 0.000 0.500
# Energy (eV per atom): -4.746
# Density of states at the Fermi level (states/eV/f.u.): 2.33


# Ti2AlCuH, relaxed, DFT PBE
data_Ti2AlCuH
_cell_length_a 3.976
_cell_length_b 3.976
_cell_length_c 3.952
_cell_angle_alpha 90.00
_cell_angle_beta 90.00
_cell_angle_gamma 90.00
_symmetry_space_group_name_H-M 'P 4/m m m'
_symmetry_Int_Tables_number 123
_symmetry_space_group_name_Hall '-P 4 2'
loop_
_atom_site_label
_atom_site_type_symbol
_atom_site_fract_x
_atom_site_fract_y
_atom_site_fract_z
Ti1 Ti 0.000 0.500 0.000
Al1 Al 0.000 0.000 0.500
Cu1 Cu 0.500 0.500 0.500
H1 H 0.500 0.500 0.000
# Energy (eV per atom): -5.698
# Distance to the lowest polymorph of the same formula (meV/atom): 0
# Density of states at the Fermi level (states/eV/f.u.): 2.96


# Ti2AlCuH, relaxed, DFT PBE
data_Ti2AlCuH
_cell_length_a 3.865
_cell_length_b 3.865
_cell_length_c 4.203
_cell_angle_alpha 90.00
_cell_angle_beta 90.00
_cell_angle_gamma 90.00
_symmetry_space_group_name_H-M 'P 4/m m m'
_symmetry_Int_Tables_number 123
_symmetry_space_group_name_Hall '-P 4 2'
loop_
_atom_site_label
_atom_site_type_symbol
_atom_site_fract_x
_atom_site_fract_y
_atom_site_fract_z
Ti1 Ti 0.000 0.500 0.000
Al1 Al 0.000 0.000 0.500
Cu1 Cu 0.500 0.500 0.500
H1 H 0.000 0.000 0.000
# Energy (eV per atom): -5.603
# Distance to the lowest polymorph of the same formula (meV/atom): 95
# Density of states at the Fermi level (states/eV/f.u.): 4.09


# TiAlCu2H, relaxed, DFT PBE
data_TiAlCu2H
_cell_length_a 3.952
_cell_length_b 3.952
_cell_length_c 3.747
_cell_angle_alpha 90.00
_cell_angle_beta 90.00
_cell_angle_gamma 90.00
_symmetry_space_group_name_H-M 'P 4/m m m'
_symmetry_Int_Tables_number 123
_symmetry_space_group_name_Hall '-P 4 2'
loop_
_atom_site_label
_atom_site_type_symbol
_atom_site_fract_x
_atom_site_fract_y
_atom_site_fract_z
Ti1 Ti 0.000 0.000 0.000
Al1 Al 0.500 0.500 0.000
Cu1 Cu 0.000 0.500 0.500
H1 H 0.000 0.000 0.500
# Energy (eV per atom): -4.798
# Density of states at the Fermi level (states/eV/f.u.): 2.43


energy of number 5 (Ti2AlCuH)? -5.603 eV per atom